LiBeH: relaxed, GGA-PBE.

Calculated values
The density of states at the Fermi level is 0.4 states/eV/f.u. As for the size of the total moment: 0.0 μB per cell. The value obtained for the calculated total energy is -8.8 eV per formula unit.

a b c (Å): 4.6160 2.5673 4.7050
angles (deg): 90.00 96.30 90.00
With the nearest neighbours (Å) after each atom.
Space group P2/m (No. 10)
Asymmetric unit:
Li 0.1858 0.0000 0.3234 x2  2 H 1.77
Be 0.3261 0.5000 0.8243 x2  2 H 1.47-1.48
H 0.3511 0.5000 0.1391 x2  2 Be 1.47-1.48